No. 1
Here is crystalline Ca2CdHg at its relaxed geometry from Alexandria via LeMat-Bulk. Energies are from GGA-PBE.

a = 3.8179 Å, b = 5.3868 Å, c = 5.3868 Å
α = 90.00°, β = 90.00°, γ = 90.00°
Element x y z (fractional)
Cd (0.5000, 0.5000, 0.5000)
Ca (0.0000, 0.5000, 0.0000)
Ca (0.0000, 0.0000, 0.5000)
Hg (0.5000, 0.0000, 0.0000)

Values from the calculation:
- Total energy: -1.7553 eV/atom
- Spin magnetization: 0.00 μB/f.u.
- Energy relative to the lowest polymorph listed for this composition: 2 kJ/mol of formula units
- Calculated formation energy: -0.450 eV/atom

No. 2
Here is crystalline Ho2ErIr at its relaxed geometry from Alexandria via LeMat-Bulk. Energies are from GGA-PBE.

a = 3.4678 Å, b = 3.4678 Å, c = 8.6809 Å
α = 90.00°, β = 90.00°, γ = 90.00°
Element x y z (fractional)
Ho (0.0000, 0.0000, 0.8126)
Er (0.5000, 0.5000, 0.5000)
Ho (0.0000, 0.0000, 0.1874)
Ir (0.5000, 0.5000, 0.0000)

Values from the calculation:
- Total energy: -6.0471 eV/atom
- Spin magnetization: 0.00 μB/f.u.
- Energy relative to the lowest polymorph listed for this composition: 77 kJ/mol of formula units
- Calculated formation energy: -0.402 eV/atom

No. 3
Here is crystalline CaCoTe at its relaxed geometry from Alexandria via LeMat-Bulk. Energies are from GGA-PBE.

a = 5.8729 Å, b = 5.8729 Å, c = 5.8729 Å
α = 144.79°, β = 144.80°, γ = 50.64°
Element x y z (fractional)
Ca (0.9984, 0.9984, 0.0000)
Co (0.2939, 0.2939, 0.0000)
Te (0.7077, 0.7077, 0.0000)

Values from the calculation:
- Total energy: -4.2166 eV/atom
- Spin magnetization: 1.12 μB/f.u.
- Energy relative to the lowest polymorph listed for this composition: 124 kJ/mol of formula units
- Energy relative to the elements, uncorrected: -12.9 kJ/mol of atoms